PBE with a Hubbard U PmMgV2O8, relaxed; space-group type = I-4m2; VASP energy = -7.284 eV per atom; D(E_F) = 7.719 states/eV/cell
1.0
6.000 0.055 0.000
-2.612 5.402 0.000
-1.694 -2.728 5.069
Mg O V Pm
1 8 2 1
Direct
0.250 0.750 0.500 Mg
0.392 0.077 0.315 O
0.332 0.525 0.192 O
0.923 0.239 0.315 O
0.475 0.668 0.808 O
0.332 0.140 0.808 O
0.761 0.077 0.685 O
0.923 0.608 0.685 O
0.860 0.668 0.192 O
0.750 0.250 0.500 V
0.500 0.500 0.000 V
0.000 0.000 0.000 Pm